Entry 1:
Computed, not measured: a relaxed TiTc2W crystal at the PBEsol level of DFT.

Cell lengths 4.3566, 4.3566, 4.3566 Å; angles 60.00, 60.00, 60.00 degrees
With the nearest neighbours (Å) after each atom.
Positions (direct):
Tc1 0.2500 0.2500 0.2500  4 Ti 2.67, 4 W 2.67
Tc2 0.7500 0.7500 0.7500  4 W 2.67, 4 Ti 2.67
W1 0.5000 0.5000 0.5000  8 Tc 2.67
Ti1 0.0000 0.0000 0.0000  8 Tc 2.67

symmetry: No. 225
E: -11.553 eV per atom

---

Entry 2:
Computed, not measured: a relaxed Cu2AgMo crystal at the PBEsol level of DFT.

Cell lengths 2.6434, 2.6434, 7.7968 Å; angles 90.00, 90.00, 89.91 degrees
With the nearest neighbours (Å) after each atom.
Positions (direct):
Ag1 0.5000 0.5000 0.0000  4 Ag 2.64, 8 Cu 2.72
Cu1 0.0000 0.0000 0.2534  4 Cu 2.64, 4 Mo 2.68, 4 Ag 2.72
Cu2 0.0000 0.0000 0.7466  4 Cu 2.64, 4 Mo 2.68, 4 Ag 2.72
Mo1 0.5000 0.5000 0.5000  4 Mo 2.64, 8 Cu 2.68

symmetry: No. 123
E: -5.747 eV per atom

---

Entry 3:
Computed, not measured: a relaxed MgAsBr2N crystal at the PBEsol level of DFT.

Cell lengths 4.5992, 4.5992, 4.4426 Å; angles 90.00, 90.00, 90.00 degrees
With the nearest neighbours (Å) after each atom.
Positions (direct):
As1 0.0000 0.0000 0.5000  2 N 2.22
Mg1 0.5000 0.5000 0.5000  8 Br 3.20, 4 As 3.25
Br1 0.0000 0.5000 0.0000  2 N 2.30
Br2 0.5000 0.0000 0.0000  2 N 2.30
N1 0.0000 0.0000 0.0000  2 As 2.22, 4 Br 2.30

symmetry: No. 123
raw formation energy: 0.56 eV per atom

---

Entry 4:
Computed, not measured: a relaxed KYCd2 crystal at the PBEsol level of DFT.

Cell lengths 3.4167, 5.6341, 6.3408 Å; angles 108.18, 105.63, 90.00 degrees
With the nearest neighbours (Å) after each atom.
Positions (direct):
Cd1 0.0215 0.9767 0.0431  2 Cd 2.98, 2 Y 3.28, 2 K 3.32
Cd2 0.7199 0.2649 0.4397  2 Cd 2.98
K1 0.4791 0.4502 0.9582  7 Cd 3.32-3.45, 2 K 3.42, 2 Y 3.63-3.65
Y1 0.2795 0.8083 0.5591  7 Cd 3.28-3.57, 2 Y 3.42, 2 K 3.63-3.65

symmetry: No. 8
energy above the lowest structure with this stoichiometry: 118.8 meV/atom

---

Entry 5:
Computed, not measured: a relaxed CuAuCl2 crystal at the PBEsol level of DFT.

Cell lengths 4.5832, 4.5832, 4.5832 Å; angles 60.00, 60.00, 60.00 degrees
With the nearest neighbours (Å) after each atom.
Positions (direct):
Au1 0.0000 0.0000 0.0000  8 Cl 2.81
Cu1 0.5000 0.5000 0.5000  8 Cl 2.81
Cl1 0.7500 0.7500 0.7500  4 Cu 2.81, 4 Au 2.81
Cl2 0.2500 0.2500 0.2500  4 Cu 2.81, 4 Au 2.81

symmetry: No. 225
energy above the lowest structure with this stoichiometry: 159.7 meV/atom
raw formation energy: 0.25 eV per atom

---

Entry 6:
Computed, not measured: a relaxed Sr3ReCl crystal at the PBEsol level of DFT.

Cell lengths 5.6772, 5.6772, 5.6772 Å; angles 90.00, 90.00, 90.00 degrees
With the nearest neighbours (Å) after each atom.
Positions (direct):
Re1 0.0000 0.0000 0.0000  6 Sr 2.84
Cl1 0.5000 0.5000 0.5000  12 Sr 4.01
Sr1 0.0000 0.5000 0.0000  2 Re 2.84
Sr2 0.0000 0.0000 0.5000  2 Re 2.84
Sr3 0.5000 0.0000 0.0000  2 Re 2.84

symmetry: No. 221
raw formation energy: 0.32 eV per atom

---

Entry 7:
Computed, not measured: a relaxed CaTcPt2 crystal at the PBEsol level of DFT.

Cell lengths 2.7768, 4.9272, 4.9272 Å; angles 108.27, 90.00, 90.00 degrees
With the nearest neighbours (Å) after each atom.
Positions (direct):
Ca1 0.5000 0.5000 0.5000  2 Ca 2.78, 8 Pt 2.83, 2 Tc 2.89
Tc1 0.5000 0.0000 0.0000  2 Tc 2.78, 8 Pt 2.83, 2 Ca 2.89
Pt1 0.0000 0.5000 0.0000  4 Pt 2.78-2.89, 4 Tc 2.83, 4 Ca 2.83
Pt2 0.0000 0.0000 0.5000  4 Pt 2.78-2.89, 4 Ca 2.83, 4 Tc 2.83

symmetry: No. 65
energy above the lowest structure with this stoichiometry: 23.5 meV/atom

---

Entry 8:
Computed, not measured: a relaxed Ba2LiAl crystal at the PBEsol level of DFT.

Cell lengths 4.1707, 5.8542, 5.8601 Å; angles 90.00, 90.00, 90.00 degrees
With the nearest neighbours (Å) after each atom.
Positions (direct):
Al1 0.5000 0.5000 0.1361  8 Ba 3.58-3.62
Ba1 0.0000 0.0000 0.1201  4 Li 3.56-3.64, 4 Al 3.60
Ba2 0.0000 0.5000 0.6319  4 Al 3.58-3.62, 4 Li 3.60
Li1 0.5000 0.0000 0.6119  8 Ba 3.56-3.64

symmetry: No. 25
E: -2.606 eV per atom

---

What did the sixth record say?
Computed, not measured: a relaxed Sr3ReCl crystal at the PBEsol level of DFT.

Cell lengths 5.6772, 5.6772, 5.6772 Å; angles 90.00, 90.00, 90.00 degrees
With the nearest neighbours (Å) after each atom.
Positions (direct):
Re1 0.0000 0.0000 0.0000  6 Sr 2.84
Cl1 0.5000 0.5000 0.5000  12 Sr 4.01
Sr1 0.0000 0.5000 0.0000  2 Re 2.84
Sr2 0.0000 0.0000 0.5000  2 Re 2.84
Sr3 0.5000 0.0000 0.0000  2 Re 2.84

symmetry: No. 221
raw formation energy: 0.32 eV per atom